# TbB6 PBE-GGA optimized geometry
# Crystal system: cubic
# Space-group type: Pm-3m (221)
# VASP energy, eV per atom: -6.80
# Energy relative to the elements, kJ per mole of atoms: -40
# Total magnetization, μB per formula unit: 0.00
data_TbB6
_chemical_formula_sum 'Tb1 B6'
_symmetry_space_group_name_H-M 'P 1'
_symmetry_Int_Tables_number 1
_cell_length_a 4.100
_cell_length_b 4.100
_cell_length_c 4.100
_cell_angle_alpha 90.00
_cell_angle_beta 90.00
_cell_angle_gamma 90.00
loop_
_symmetry_equiv_pos_as_xyz
'x,y,z'
loop_
_atom_site_label
_atom_site_type_symbol
_atom_site_fract_x
_atom_site_fract_y
_atom_site_fract_z
_atom_site_occupancy
B1 B 0.500 0.801 0.500 1
B2 B 0.500 0.199 0.500 1
B3 B 0.801 0.500 0.500 1
B4 B 0.500 0.500 0.199 1
B5 B 0.199 0.500 0.500 1
B6 B 0.500 0.500 0.801 1
Tb1 Tb 0.000 0.000 0.000 1